## KAlB3 (PBE-GGA)

Data for a relaxed KAlB3 crystal.

As for the calculated formation energy: 1.588 eV/atom. For the distance to the lowest polymorph of the same formula, the calculation gives 0.000 eV per atom. The value obtained for the volume is 84 Å³/cell. Its raw total energy is -3.3867 eV/atom. As for the theoretical density: 1.954 g cm⁻³.

abc: 4.375 4.375 4.375
angles: 90.00 90.00 90.00
Atoms (fractional coordinates):
B  0.500  0.000  0.000
K  0.500  0.500  0.500
B  0.000  0.000  0.500
B  0.000  0.500  0.000
Al  0.000  0.000  0.000